{"formula": "KTmCuI5", "functional": "GGA-PBE", "state": "relaxed", "lattice": [[4.9528, -6.5523, 0.0000], [4.9528, 6.5523, 0.0000], [-4.4570, 0.0000, 10.2561]], "species": ["K", "K", "Tm", "Tm", "Cu", "Cu", "I", "I", "I", "I", "I", "I", "I", "I", "I", "I"], "fractional_positions": [[0.1378, 0.8622, 0.7500], [0.8622, 0.1378, 0.2500], [0.5000, 0.5000, 0.0000], [0.5000, 0.5000, 0.5000], [0.1910, 0.8090, 0.2500], [0.8090, 0.1910, 0.7500], [0.1164, 0.2662, 0.9365], [0.1765, 0.5819, 0.3796], [0.2662, 0.1164, 0.4365], [0.4132, 0.5868, 0.7500], [0.4181, 0.8235, 0.1204], [0.5819, 0.1765, 0.8796], [0.5868, 0.4132, 0.2500], [0.7338, 0.8836, 0.5635], [0.8235, 0.4181, 0.6204], [0.8836, 0.7338, 0.0635]], "formation_energy_uncorrected_mev_per_atom": -1060.6}

{"formula": "KUCu2I8", "functional": "GGA-PBE", "state": "relaxed", "lattice": [[6.0290, -4.2000, 0.0000], [6.0290, 4.2000, 0.0000], [-0.4461, 0.0000, 10.3788]], "species": ["K", "U", "Cu", "Cu", "I", "I", "I", "I", "I", "I", "I", "I"], "fractional_positions": [[0.0000, 0.0000, 0.0000], [0.0000, 0.0000, 0.5000], [0.3605, 0.3605, 0.7299], [0.6395, 0.6395, 0.2701], [0.2450, 0.2450, 0.5111], [0.2491, 0.7467, 0.2970], [0.2533, 0.7509, 0.7030], [0.2917, 0.2917, 0.9523], [0.7083, 0.7083, 0.0477], [0.7467, 0.2491, 0.2970], [0.7509, 0.2533, 0.7030], [0.7550, 0.7550, 0.4889]], "formation_energy_uncorrected_mev_per_atom": -619.3}

{"formula": "KVCu2I6", "functional": "GGA-PBE", "state": "relaxed", "lattice": [[7.6428, -6.8694, 0.0000], [7.6428, 6.8694, 0.0000], [-3.3953, 0.0000, 7.6655]], "species": ["K", "K", "V", "V", "Cu", "Cu", "Cu", "Cu", "I", "I", "I", "I", "I", "I", "I", "I", "I", "I", "I", "I"], "fractional_positions": [[0.1727, 0.8273, 0.7500], [0.8273, 0.1727, 0.2500], [0.1819, 0.8181, 0.2500], [0.8181, 0.1819, 0.7500], [0.2804, 0.3681, 0.8067], [0.3681, 0.2804, 0.3067], [0.6319, 0.7196, 0.6933], [0.7196, 0.6319, 0.1933], [0.0480, 0.1894, 0.6773], [0.1616, 0.6006, 0.9855], [0.1894, 0.0480, 0.1773], [0.2621, 0.4371, 0.5335], [0.3994, 0.8384, 0.5145], [0.4371, 0.2621, 0.0335], [0.5629, 0.7379, 0.9665], [0.6006, 0.1616, 0.4855], [0.7379, 0.5629, 0.4665], [0.8106, 0.9520, 0.8227], [0.8384, 0.3994, 0.0145], [0.9520, 0.8106, 0.3227]], "formation_energy_uncorrected_mev_per_atom": -442.7}

{"formula": "KYCuI6", "functional": "GGA-PBE", "state": "relaxed", "lattice": [[7.4200, 0.0000, 0.0000], [-2.9514, 6.8751, 0.0000], [-0.5678, -0.7783, 7.8358]], "species": ["K", "Y", "Cu", "I", "I", "I", "I", "I", "I"], "fractional_positions": [[0.0000, 0.0000, 0.0000], [0.3665, 0.6718, 0.5088], [0.7475, 0.3596, 0.4568], [0.0251, 0.6098, 0.2488], [0.0460, 0.3376, 0.6614], [0.3987, 0.9640, 0.7864], [0.4472, 0.3834, 0.2571], [0.6524, 0.9915, 0.3148], [0.6758, 0.5730, 0.7106]], "formation_energy_uncorrected_mev_per_atom": -936.5}

{"formula": "K2ZnCuI", "functional": "GGA-PBE", "state": "relaxed", "lattice": [[6.6461, 0.0000, 0.0000], [0.0000, 6.6461, 0.0000], [0.0000, 0.0000, 6.4548]], "species": ["K", "K", "Zn", "Cu", "I"], "fractional_positions": [[0.0000, 0.5000, 0.0000], [0.5000, 0.0000, 0.0000], [0.0000, 0.0000, 0.5000], [0.5000, 0.5000, 0.5000], [0.0000, 0.0000, 0.0000]], "formation_energy_uncorrected_mev_per_atom": 103.0}

{"formula": "La2CuI", "functional": "GGA-PBE", "state": "relaxed", "lattice": [[0.0000, 3.8301, 3.8301], [3.8301, 0.0000, 3.8301], [3.8301, 3.8301, 0.0000]], "species": ["La", "La", "Cu", "I"], "fractional_positions": [[0.2500, 0.2500, 0.2500], [0.7500, 0.7500, 0.7500], [0.0000, 0.0000, 0.0000], [0.5000, 0.5000, 0.5000]], "formation_energy_uncorrected_mev_per_atom": -370.1, "de_polymorph_kj_per_mol_fu": 73}

{"formula": "La2CuI", "functional": "GGA-PBE", "state": "relaxed", "lattice": [[2.1599, 1.2470, 7.9075], [-2.1599, 1.2470, 7.9075], [0.0000, -2.4940, 7.9075]], "species": ["La", "La", "Cu", "I"], "fractional_positions": [[0.2355, 0.2355, 0.2355], [0.7645, 0.7645, 0.7645], [0.5000, 0.5000, 0.5000], [0.0000, 0.0000, 0.0000]], "formation_energy_uncorrected_mev_per_atom": -558.9, "de_polymorph_kj_per_mol_fu": 0}

{"formula": "LaCu3I", "functional": "GGA-PBE", "state": "relaxed", "lattice": [[5.4279, 0.0000, 0.0000], [0.0000, 5.4279, 0.0000], [0.0000, 0.0000, 5.4279]], "species": ["La", "Cu", "Cu", "Cu", "I"], "fractional_positions": [[0.0000, 0.0000, 0.0000], [0.0000, 0.0000, 0.5000], [0.0000, 0.5000, 0.0000], [0.5000, 0.0000, 0.0000], [0.5000, 0.5000, 0.5000]], "formation_energy_uncorrected_mev_per_atom": 990.8, "de_polymorph_kj_per_mol_fu": 153}